This record from the Alexandria database describes crystalline CuTcHg4 at its relaxed geometry. The functional is PBE.

The structure in POSCAR format:
```
CuTcHg4
1.0
0.000 4.030 4.030
4.030 0.000 4.030
4.030 4.030 0.000
Cu Tc Hg
1 1 4
direct
0.000 0.000 0.000 Cu
0.250 0.250 0.250 Tc
0.125 0.625 0.625 Hg
0.625 0.125 0.625 Hg
0.625 0.625 0.125 Hg
0.625 0.625 0.625 Hg
```

Computed properties:
**Space group**: F-43m (216)
**Total moment**: 3.07 μB/f.u.
**E**: -1.7021 eV/atom
**DFT formation energy**: 909 meV/atom